PBE+U GdFe3B4O12, optimized geometry; space-group type = No. 155; total energy = -8.098 eV/atom
1.0
-4.8192 -1.6302 3.4262
1.7064 -5.2299 -2.7125
4.4356 1.0359 4.1078
O B Gd Fe
12 4 1 3
direct
0.2064 0.3696 0.9705
0.7936 0.0295 0.6304
0.9086 0.5000 0.0914
0.5000 0.3565 0.6435
0.0914 0.9086 0.5000
0.0295 0.6304 0.7936
0.3696 0.9705 0.2064
0.9705 0.2064 0.3696
0.3565 0.6435 0.5000
0.6304 0.7936 0.0295
0.5000 0.0914 0.9086
0.6435 0.5000 0.3565
0.5000 0.5000 0.5000
0.9481 0.0519 0.5000
0.0519 0.5000 0.9481
0.5000 0.9481 0.0519
0.0000 0.0000 0.0000
0.5499 0.4501 0.0000
0.0000 0.5499 0.4501
0.4501 0.0000 0.5499